Entry 1:
DFT (PBE) results for a relaxed structure of Ac2PuO7.

Computed properties:
- Total DFT energy (no corrections): -8.353 eV per atom
- SG: C2/c

Cell and atoms, written as POSCAR:
```
Ac2PuO7
1.0
6.3867 -3.5117 0.0000
6.3867 3.5117 0.0000
-5.4822 0.0000 7.0395
Ac Pu O
4 2 14
direct
0.1184 0.2728 0.2877
0.2728 0.1184 0.7877
0.7272 0.8816 0.2123
0.8816 0.7272 0.7123
0.3446 0.6554 0.2500
0.6554 0.3446 0.7500
0.0301 0.9699 0.2500
0.1597 0.6219 0.3349
0.1665 0.5525 0.9821
0.2599 0.4450 0.6502
0.3781 0.8403 0.1651
0.4450 0.2599 0.1502
0.4475 0.8335 0.5179
0.5525 0.1665 0.4821
0.5550 0.7401 0.8498
0.6219 0.1597 0.8349
0.7401 0.5550 0.3498
0.8335 0.4475 0.0179
0.8403 0.3781 0.6651
0.9699 0.0301 0.7500
```



Entry 2:
DFT (PBE) results for a relaxed structure of Pm2PrSc.

Computed properties:
- ΔE_f: 0.15 eV per atom
- Total DFT energy (no corrections): -5.003 eV per atom
- E above lowest polymorph: 112 meV/atom
- SG: Fm-3m
- D(E_F): 9.639 states/eV per cell

Cell and atoms, written as POSCAR:
```
Pm2PrSc
1.0
0.0000 4.0140 4.0140
4.0140 0.0000 4.0140
4.0140 4.0140 0.0000
Pm Pr Sc
2 1 1
direct
0.2500 0.2500 0.2500
0.7500 0.7500 0.7500
0.0000 0.0000 0.0000
0.5000 0.5000 0.5000
```



Entry 3:
DFT (PBE) results for a relaxed structure of InSi2Au.

Computed properties:
- Total DFT energy (no corrections): -3.805 eV per atom
- SG: Cmmm
- D(E_F): 1.943 states/eV per cell

Cell and atoms, written as POSCAR:
```
InSi2Au
1.0
1.4445 -2.7252 0.0000
1.4445 2.7252 0.0000
0.0000 0.0000 10.0069
In Si Au
1 2 1
direct
0.0000 0.0000 0.0000
0.5000 0.5000 0.2777
0.5000 0.5000 0.7223
0.0000 0.0000 0.5000
```



Entry 4:
DFT (PBE) results for a relaxed structure of Ir2W.

Computed properties:
- ΔE_f: -0.33 eV per atom
- Total DFT energy (no corrections): -10.555 eV per atom
- SG: Cmcm
- D(E_F): 4.119 states/eV per cell

Cell and atoms, written as POSCAR:
```
Ir2W
1.0
1.3978 -7.2318 0.0000
1.3978 7.2318 0.0000
0.0000 0.0000 4.4294
Ir W
4 2
direct
0.0562 0.9438 0.7500
0.2750 0.7250 0.2500
0.7250 0.2750 0.7500
0.9438 0.0562 0.2500
0.3885 0.6115 0.7500
0.6115 0.3885 0.2500
```



Entry 5:
DFT (PBE) results for a relaxed structure of LaHo2Nb.

Computed properties:
- ΔE_f: 0.56 eV per atom
- Total DFT energy (no corrections): -5.474 eV per atom
- SG: R-3m
- D(E_F): 6.843 states/eV per cell

Cell and atoms, written as POSCAR:
```
LaHo2Nb
1.0
1.6590 0.9578 11.8134
-1.6590 0.9578 11.8134
0.0000 -1.9157 11.8134
La Ho Nb
1 2 1
direct
0.0000 0.0000 0.0000
0.4186 0.4186 0.4186
0.5814 0.5814 0.5814
0.5000 0.5000 0.5000
```



Entry 6:
DFT (PBE) results for a relaxed structure of KZrBe2.

Computed properties:
- ΔE_f: 0.46 eV per atom
- Total DFT energy (no corrections): -3.816 eV per atom
- E above lowest polymorph: 0 meV/atom
- SG: P4/mmm
- D(E_F): 1.780 states/eV per cell

Cell and atoms, written as POSCAR:
```
KZrBe2
1.0
3.4354 0.0000 0.0000
0.0000 3.4354 0.0000
0.0000 0.0000 7.3794
K Zr Be
1 1 2
direct
0.0000 0.0000 0.0000
0.0000 0.0000 0.5000
0.5000 0.5000 0.3498
0.5000 0.5000 0.6502
```



Entry 7:
DFT (PBE) results for a relaxed structure of LiSmMg2.

Computed properties:
- ΔE_f: -0.05 eV per atom
- Total DFT energy (no corrections): -2.507 eV per atom
- E above lowest polymorph: 0 meV/atom
- SG: I-4m2
- D(E_F): 2.242 states/eV per cell

Cell and atoms, written as POSCAR:
```
LiSmMg2
1.0
-2.5754 2.5754 3.6563
2.5754 -2.5754 3.6563
2.5754 2.5754 -3.6563
Li Sm Mg
1 1 2
direct
0.0000 0.0000 0.0000
0.7500 0.2500 0.5000
0.2500 0.7500 0.5000
0.5000 0.5000 0.0000
```



Entry 8:
DFT (PBE) results for a relaxed structure of PSO2.

Computed properties:
- Total DFT energy (no corrections): -4.840 eV per atom
- E above lowest polymorph: 370 meV/atom
- SG: R-3m
- D(E_F): 1.517 states/eV per cell

Cell and atoms, written as POSCAR:
```
PSO2
1.0
1.5330 0.8851 6.1427
-1.5330 0.8851 6.1427
0.0000 -1.7702 6.1427
P S O
1 1 2
direct
0.0000 0.0000 0.0000
0.5000 0.5000 0.5000
0.3938 0.3938 0.3938
0.6062 0.6062 0.6062
```



Entry 9:
DFT (PBE) results for a relaxed structure of Pu2CuSi.

Computed properties:
- Total DFT energy (no corrections): -9.177 eV per atom
- SG: R-3m
- D(E_F): 6.045 states/eV per cell

Cell and atoms, written as POSCAR:
```
Pu2CuSi
1.0
1.3233 0.7640 10.9247
-1.3233 0.7640 10.9247
0.0000 -1.5280 10.9247
Pu Cu Si
2 1 1
direct
0.0885 0.0885 0.0885
0.9115 0.9115 0.9115
0.0000 0.0000 0.0000
0.5000 0.5000 0.5000
```



Entry 10:
DFT (PBE) results for a relaxed structure of NaZn2Ge2.

Computed properties:
- ΔE_f: -0.09 eV per atom
- Total DFT energy (no corrections): -2.712 eV per atom
- E above lowest polymorph: 0 meV/atom
- SG: I4/mmm
- D(E_F): 0.935 states/eV per cell

Cell and atoms, written as POSCAR:
```
NaZn2Ge2
1.0
-2.1272 2.1272 5.4333
2.1272 -2.1272 5.4333
2.1272 2.1272 -5.4333
Na Zn Ge
1 2 2
direct
0.0000 0.0000 0.0000
0.2500 0.7500 0.5000
0.7500 0.2500 0.5000
0.3853 0.3853 0.0000
0.6147 0.6147 0.0000
```



Entry 11:
DFT (PBE) results for a relaxed structure of TaNbOF2.

Computed properties:
- Total DFT energy (no corrections): -6.799 eV per atom
- E above lowest polymorph: 303 meV/atom
- SG: P4/mmm
- D(E_F): 4.689 states/eV per cell

Cell and atoms, written as POSCAR:
```
TaNbOF2
1.0
4.3028 0.0000 0.0000
0.0000 4.3028 0.0000
0.0000 0.0000 4.0197
Ta Nb O F
1 1 1 2
direct
0.0000 0.0000 0.0000
0.5000 0.5000 0.5000
0.5000 0.5000 0.0000
0.0000 0.5000 0.5000
0.5000 0.0000 0.5000
```



- Which formula does entry 6 have?
  KZrBe2



- total DFT energy (no corrections) of number 8 (PSO2)?
  -4.840 eV per atom



- Look up the total DFT energy (no corrections) of the fourth one.
  -10.555 eV per atom